[1]
Entry from the Alexandria database: a relaxed structure of AgP2W (GGA-PBE).

The structure in POSCAR format:
```
AgP2W
1.0
4.3335 -0.0004 -0.0306
3.2060 2.9156 -0.0306
0.4744 0.1834 5.2295
P W Ag
2 1 1
direct
0.0324 0.0324 0.9268
0.4676 0.4676 0.5732
0.7500 0.7500 0.7500
0.2500 0.2500 0.2500
```

The energy above the most stable polymorph in this dataset is 173 meV/atom. The total energy comes out at -6.460 eV per atom. The formation energy from the elements comes out at 0.196 eV per atom. For the total magnetization, the calculation gives 0.000 μB per atom. The volume comes out at 66.1 Å³/cell.



[2]
Entry from the Alexandria database: a relaxed structure of Pr6Y8Sc (GGA-PBE).

The structure in POSCAR format:
```
Pr6Y8Sc
1.0
-4.6278 8.4364 2.0119
-2.7510 2.0198 9.2190
2.7987 6.1340 4.7325
Y Pr Sc
8 6 1
direct
0.0744 0.6488 0.5088
0.5855 0.5855 0.2435
0.4145 0.4145 0.7565
0.6488 0.7680 0.5088
0.3512 0.2320 0.4912
0.2320 0.9256 0.4912
0.9256 0.3512 0.4912
0.7680 0.0744 0.5088
0.3839 0.9227 0.9714
0.2780 0.6161 0.0286
0.0773 0.2780 0.0286
0.6161 0.0773 0.0286
0.9227 0.7220 0.9714
0.7220 0.3839 0.9714
0.0000 0.0000 0.0000
```

The energy above the most stable polymorph in this dataset is 70 meV/atom. The total energy comes out at -5.601 eV per atom. The formation energy from the elements comes out at 0.180 eV per atom. For the total magnetization, the calculation gives 0.000 μB per atom. The volume comes out at 499.6 Å³/cell.



[3]
Entry from the Alexandria database: a relaxed structure of CaPr8Y5 (GGA-PBE).

The structure in POSCAR format:
```
CaPr8Y5
1.0
-2.9629 5.6006 6.0111
-6.4353 -5.0692 -3.0281
6.1703 -4.7592 3.9442
Y Pr Ca
5 8 1
direct
0.8719 0.9114 0.1856
0.2742 0.0886 0.9605
0.5000 0.0000 0.5000
0.8144 0.6863 0.7258
0.0395 0.3137 0.1281
0.5293 0.6030 0.2708
0.1556 0.7315 0.0791
0.7292 0.2585 0.3322
0.6678 0.3970 0.9263
0.0737 0.7415 0.4707
0.3476 0.2685 0.4241
0.5759 0.9235 0.8444
0.9209 0.0765 0.6524
0.2500 0.5000 0.7500
```

The total energy comes out at -4.944 eV per atom. The formation energy from the elements comes out at 0.239 eV per atom. For the total magnetization, the calculation gives 0.000 μB per atom. The volume comes out at 511.6 Å³/cell.



[4]
Entry from the Alexandria database: a relaxed structure of Pr5Th3 (GGA-PBE).

The structure in POSCAR format:
```
Pr5Th3
1.0
3.5490 -0.2613 0.0000
-1.4406 3.2539 0.0000
0.0000 0.0000 24.7093
Pr Th
5 3
direct
0.5000 0.5000 0.2443
0.0000 0.0000 0.6273
0.5000 0.5000 0.5000
0.0000 0.0000 0.3727
0.5000 0.5000 0.7557
0.0000 0.0000 0.8807
0.5000 0.5000 0.0000
0.0000 0.0000 0.1193
```

The total energy comes out at -5.658 eV per atom. The formation energy from the elements comes out at 0.111 eV per atom. For the total magnetization, the calculation gives 0.000 μB per atom. The volume comes out at 276.0 Å³/cell.



[5]
Entry from the Alexandria database: a relaxed structure of Pr2UIn3Te6 (GGA-PBE).

The structure in POSCAR format:
```
Pr2UIn3Te6
1.0
-0.6354 7.5357 -1.8681
-5.1974 -5.1327 -2.7060
-2.7175 0.4414 8.1212
Te In Pr U
6 3 2 1
direct
0.0752 0.4013 0.2262
0.9248 0.5987 0.7738
0.4013 0.0752 0.2262
0.2498 0.2498 0.7720
0.7502 0.7502 0.2280
0.5987 0.9248 0.7738
0.1678 0.8322 0.5000
0.5000 0.5000 0.5000
0.8322 0.1678 0.5000
0.6665 0.3335 0.0000
0.3335 0.6665 0.0000
0.0000 0.0000 0.0000
```

The total energy comes out at -4.795 eV per atom. The energy relative to the elements, uncorrected comes out at -9.626 eV/f.u. For the total magnetization, the calculation gives 0.252 μB per atom. The volume comes out at 429.6 Å³/cell.



[6]
Entry from the Alexandria database: a relaxed structure of CaRe3Bi (GGA-PBE).

The structure in POSCAR format:
```
CaRe3Bi
1.0
-3.9721 2.2881 1.3277
-2.6043 -2.9620 -2.6869
-0.4642 -2.9609 3.7139
Bi Re Ca
1 3 1
direct
0.5000 0.5000 0.5000
0.0000 0.5000 0.0000
0.5000 0.0000 0.0000
0.0000 0.0000 0.5000
0.0000 0.0000 0.0000
```

The energy above the most stable polymorph in this dataset is 544 meV/atom. The total energy comes out at -5.595 eV per atom. The formation energy from the elements comes out at 3.050 eV per atom. For the total magnetization, the calculation gives 0.580 μB per atom. The volume comes out at 108.7 Å³/cell.



[7]
Entry from the Alexandria database: a relaxed structure of LaRe2AuS (GGA-PBE).

The structure in POSCAR format:
```
LaRe2AuS
1.0
4.4263 0.0000 0.0000
0.0000 5.3464 0.0000
0.0000 0.0000 4.4263
S Re Au La
1 2 1 1
direct
0.0000 0.0000 0.0000
0.5000 0.0000 0.0000
0.0000 0.0000 0.5000
0.5000 0.5000 0.5000
0.0000 0.5000 0.0000
```

The total energy comes out at -6.979 eV per atom. The energy relative to the elements, uncorrected comes out at 2.335 eV/f.u. For the total magnetization, the calculation gives 0.000 μB per atom. The volume comes out at 104.7 Å³/cell.



[8]
Entry from the Alexandria database: a relaxed structure of TlCdSn4 (GGA-PBE).

The structure in POSCAR format:
```
TlCdSn4
1.0
6.2942 0.0000 0.0000
3.1471 5.4509 0.0000
3.1471 1.8170 5.1392
Sn Cd Tl
4 1 1
direct
0.1247 0.6251 0.6251
0.6251 0.6251 0.6251
0.6251 0.1247 0.6251
0.6251 0.6251 0.1247
0.0000 0.0000 0.0000
0.2500 0.2500 0.2500
```

The energy above the most stable polymorph in this dataset is 72 meV/atom. The total energy comes out at -3.089 eV per atom. The formation energy from the elements comes out at 0.127 eV per atom. For the total magnetization, the calculation gives 0.000 μB per atom. The volume comes out at 176.3 Å³/cell.



Copy entry 2 word for word.
Entry from the Alexandria database: a relaxed structure of Pr6Y8Sc (GGA-PBE).

The structure in POSCAR format:
```
Pr6Y8Sc
1.0
-4.6278 8.4364 2.0119
-2.7510 2.0198 9.2190
2.7987 6.1340 4.7325
Y Pr Sc
8 6 1
direct
0.0744 0.6488 0.5088
0.5855 0.5855 0.2435
0.4145 0.4145 0.7565
0.6488 0.7680 0.5088
0.3512 0.2320 0.4912
0.2320 0.9256 0.4912
0.9256 0.3512 0.4912
0.7680 0.0744 0.5088
0.3839 0.9227 0.9714
0.2780 0.6161 0.0286
0.0773 0.2780 0.0286
0.6161 0.0773 0.0286
0.9227 0.7220 0.9714
0.7220 0.3839 0.9714
0.0000 0.0000 0.0000
```

The energy above the most stable polymorph in this dataset is 70 meV/atom. The total energy comes out at -5.601 eV per atom. The formation energy from the elements comes out at 0.180 eV per atom. For the total magnetization, the calculation gives 0.000 μB per atom. The volume comes out at 499.6 Å³/cell.